Entry 1:
## BaHoOsO6 (GGA-PBE)

Data for an optimized crystal structure of BaHoOsO6.

a = 5.5978 Å, b = 5.5978 Å, c = 5.6476 Å
α = 90.00°, β = 90.00°, γ = 120.00°
Space group P312 (No. 149)
Unique sites:
Ba 0.0000 0.0000 0.0000
Ho 0.3333 0.6667 0.5000
Os 0.6667 0.3333 0.5000
O 0.3981 0.0431 0.6942

Computed properties:
- Calculated total energy: -66.74 eV per cell
- Energy relative to the elements, uncorrected: -2.141 eV/atom

---

Entry 2:
## Hf2MnPd9 (GGA-PBE)

Data for an optimized crystal structure of Hf2MnPd9.

a = 3.990 Å, b = 3.990 Å, c = 11.917 Å
α = 90.00°, β = 90.00°, γ = 90.00°
Space group P4/mmm (No. 123)
Unique sites:
Hf 0.000 0.000 0.172
Mn 0.000 0.000 0.500
Pd 0.000 0.500 0.000
Pd 0.000 0.500 0.335
Pd 0.500 0.500 0.167
Pd 0.500 0.500 0.500

Computed properties:
- Calculated total energy: -83.94 eV per cell
- Formation enthalpy at 0 K: -8.1 eV per formula unit

---

Entry 3:
## Li4HgPb2 (GGA-PBE)

Data for an optimized crystal structure of Li4HgPb2.

a = 5.566 Å, b = 11.764 Å, c = 4.958 Å
α = 90.00°, β = 90.00°, γ = 90.00°
Space group Cmmm (No. 65)
Unique sites:
Li 0.000 0.118 0.000
Li 0.000 0.241 0.500
Hg 0.000 0.000 0.500
Pb 0.000 0.368 0.000

Computed properties:
- Calculated total energy: -31.72 eV per cell
- Formation enthalpy at 0 K: -0.5 eV per formula unit

---

Entry 4:
## La3InO (GGA-PBE)

Data for an optimized crystal structure of La3InO.

a = 7.2232 Å, b = 7.2232 Å, c = 19.1994 Å
α = 90.00°, β = 90.00°, γ = 120.00°
Space group R-3 (No. 148, hexagonal axes)
Unique sites:
La 0.0019 0.4119 0.0762
In 0.0000 0.0000 0.1229
O 0.0000 0.0000 0.3358

Computed properties:
- Calculated total energy: -168.15 eV per cell
- Energy relative to the elements, uncorrected: -1.109 eV/atom

---

Entry 5:
## NaCdTcAs2 (GGA-PBE)

Data for an optimized crystal structure of NaCdTcAs2.

a = 4.944 Å, b = 4.944 Å, c = 4.987 Å
α = 90.00°, β = 90.00°, γ = 90.00°
Space group P4/mmm (No. 123)
Unique sites:
Na 0.000 0.000 0.000
Cd 0.000 0.000 0.500
Tc 0.500 0.500 0.500
As 0.000 0.500 0.000

Computed properties:
- Calculated total energy: -14.85 eV per cell
- Formation enthalpy at 0 K: 7.0 eV per formula unit

---

Entry 6:
## VCuPb2 (GGA-PBE)

Data for an optimized crystal structure of VCuPb2.

a = 7.006 Å, b = 7.006 Å, c = 7.006 Å
α = 90.00°, β = 90.00°, γ = 90.00°
Space group Fm-3m (No. 225)
Unique sites:
V 0.000 0.000 0.000
Cu 0.000 0.000 0.500
Pb 0.250 0.250 0.250

Computed properties:
- Calculated total energy: -74.38 eV per cell
- Formation enthalpy at 0 K: 2.0 eV per formula unit

---

Entry 7:
## Cs2TlOs3O12 (GGA-PBE)

Data for an optimized crystal structure of Cs2TlOs3O12.

a = 7.3849 Å, b = 7.3849 Å, c = 19.2097 Å
α = 90.00°, β = 90.00°, γ = 120.00°
Space group R-3m (No. 166, hexagonal axes)
Unique sites:
Cs 0.0000 0.0000 0.1094
Tl 0.0000 0.0000 0.5000
Os 0.0000 0.5000 0.0000
O 0.0545 0.5272 0.9081
O 0.0801 0.5401 0.3185

Computed properties:
- Calculated total energy: -352.57 eV per cell
- Energy relative to the elements, uncorrected: -1.126 eV/atom

---

Entry 8:
## Sm4HoBi5 (GGA-PBE)

Data for an optimized crystal structure of Sm4HoBi5.

a = 4.540 Å, b = 4.540 Å, c = 32.079 Å
α = 90.00°, β = 90.00°, γ = 90.00°
Space group I4/mmm (No. 139)
Unique sites:
Sm 0.000 0.000 0.100
Sm 0.000 0.000 0.301
Ho 0.000 0.000 0.500
Bi 0.000 0.000 0.000
Bi 0.000 0.000 0.200
Bi 0.000 0.000 0.401

Computed properties:
- Calculated total energy: -103.85 eV per cell
- Formation enthalpy at 0 K: -9.1 eV per formula unit

---

What did we get for volume? Answer: 17.03 15.81 23.19 28.92 24.38 21.49 16.80 33.07 A^3/atom, in the order shown.